Material: Ce2TiZnPt6
Method: DFT, PBE
State: optimized geometry

Values from the calculation:
Density   11.72 g/cm3
Total magnetization   1.349 μB/f.u.
Energy of formation   -0.72 eV/atom
E   -6.451 eV per atom
Space-group type   R-3m (166)

Lattice parameters (Å, degrees): 8.5219 8.5219 8.5219 39.12 39.12 39.12
With the nearest neighbours (Å) after each atom.
Atoms (fractional coordinates):
Ce: 0.2085 0.2085 0.2085  9 Pt 2.99-3.28
Ce: 0.7915 0.7915 0.7915  9 Pt 2.99-3.28
Ti: 0.5000 0.5000 0.5000  6 Pt 2.51
Zn: 0.0000 0.0000 0.0000  6 Pt 2.62
Pt: 0.2393 0.7489 0.7489  1 Ti 2.51, 1 Zn 2.62, 2 Pt 2.80
Pt: 0.2511 0.2511 0.7607  1 Ti 2.51, 1 Zn 2.62, 2 Pt 2.80
Pt: 0.2511 0.7607 0.2511  1 Ti 2.51, 1 Zn 2.62, 2 Pt 2.80
Pt: 0.7489 0.2393 0.7489  1 Ti 2.51, 1 Zn 2.62, 2 Pt 2.80
Pt: 0.7489 0.7489 0.2393  1 Ti 2.51, 1 Zn 2.62, 2 Pt 2.80
Pt: 0.7607 0.2511 0.2511  1 Ti 2.51, 1 Zn 2.62, 2 Pt 2.80

Material: CeTlPt2
Method: DFT, PBE
State: optimized geometry

Values from the calculation:
Density   14.02 g/cm3
Total magnetization   0.234 μB/f.u.
Energy of formation   -0.61 eV/atom
E   -5.702 eV per atom
Space-group type   P4/mmm (123)

Lattice parameters (Å, degrees): 3.5450 3.5450 6.9249 90.00 90.00 90.00
With the nearest neighbours (Å) after each atom.
Atoms (fractional coordinates):
Ce: 0.0000 0.0000 0.0000  8 Pt 3.00
Tl: 0.0000 0.0000 0.5000  8 Pt 3.09
Pt: 0.5000 0.5000 0.2393  4 Ce 3.00, 4 Tl 3.09, 1 Pt 3.31
Pt: 0.5000 0.5000 0.7607  4 Ce 3.00, 4 Tl 3.09, 1 Pt 3.31

Material: Ce4TlPt
Method: DFT, PBE
State: optimized geometry

Values from the calculation:
Density   10.53 g/cm3
Total magnetization   0.362 μB/f.u.
Energy of formation   -0.40 eV/atom
E   -5.760 eV per atom
Space-group type   C2/c (15)

Lattice parameters (Å, degrees): 7.7885 7.7885 5.7031 102.05 102.05 109.98
With the nearest neighbours (Å) after each atom.
Atoms (fractional coordinates):
Ce: 0.0714 0.6852 0.8506  3 Ce 2.80-2.84, 2 Pt 3.02-3.12
Ce: 0.1685 0.3824 0.6346  2 Ce 2.83-2.84, 2 Pt 2.96-3.13
Ce: 0.3148 0.9286 0.6494  3 Ce 2.80-2.84, 2 Pt 3.02-3.12
Ce: 0.3824 0.1685 0.1346  2 Ce 2.83-2.84, 2 Pt 2.96-3.13
Ce: 0.6176 0.8315 0.8654  2 Ce 2.83-2.84, 2 Pt 2.96-3.13
Ce: 0.6852 0.0714 0.3506  3 Ce 2.80-2.84, 2 Pt 3.02-3.12
Ce: 0.8315 0.6176 0.3654  2 Ce 2.83-2.84, 2 Pt 2.96-3.13
Ce: 0.9286 0.3148 0.1494  3 Ce 2.80-2.84, 2 Pt 3.02-3.12
Tl: 0.3884 0.6116 0.2500  10 Ce 3.28-3.47
Tl: 0.6116 0.3884 0.7500  10 Ce 3.28-3.47
Pt: 0.0254 0.9746 0.2500  2 Pt 2.92, 8 Ce 2.96-3.13
Pt: 0.9746 0.0254 0.7500  2 Pt 2.92, 8 Ce 2.96-3.13

Material: Ce2TlPt
Method: DFT, PBE
State: optimized geometry

Values from the calculation:
Density   10.90 g/cm3
Total magnetization   1.735 μB/f.u.
Energy of formation   -0.47 eV/atom
E   -5.536 eV per atom
Space-group type   Fm-3m (225)

Lattice parameters (Å, degrees): 5.2706 5.2706 5.2706 60.00 60.00 60.00
With the nearest neighbours (Å) after each atom.
Atoms (fractional coordinates):
Ce: 0.2500 0.2500 0.2500  4 Tl 3.23, 4 Pt 3.23
Ce: 0.7500 0.7500 0.7500  4 Tl 3.23, 4 Pt 3.23
Tl: 0.0000 0.0000 0.0000  8 Ce 3.23
Pt: 0.5000 0.5000 0.5000  8 Ce 3.23

Material: CeTlPt10
Method: DFT, PBE
State: optimized geometry

Values from the calculation:
Density   16.96 g/cm3
Total magnetization   0.254 μB/f.u.
Energy of formation   -0.37 eV/atom
E   -6.095 eV per atom
Space-group type   Pmmm (47)

Lattice parameters (Å, degrees): 4.4217 5.4431 9.3371 90.00 90.00 90.00
With the nearest neighbours (Å) after each atom.
Atoms (fractional coordinates):
Ce: 0.0000 0.0000 0.0000  14 Pt 3.12-3.44
Tl: 0.0000 0.5000 0.5000  6 Pt 3.07-3.13
Pt: 0.0000 0.0000 0.3346  6 Pt 2.70-2.72
Pt: 0.0000 0.0000 0.6654  6 Pt 2.70-2.72
Pt: 0.0000 0.5000 0.1708  6 Pt 2.70-2.73
Pt: 0.0000 0.5000 0.8292  6 Pt 2.70-2.73
Pt: 0.5000 0.0000 0.5000  8 Pt 2.70-2.74
Pt: 0.5000 0.2458 0.2440  8 Pt 2.67-2.77
Pt: 0.5000 0.2458 0.7560  8 Pt 2.67-2.77
Pt: 0.5000 0.5000 0.0000  8 Pt 2.67-2.73
Pt: 0.5000 0.7542 0.2440  8 Pt 2.67-2.77
Pt: 0.5000 0.7542 0.7560  8 Pt 2.67-2.77

Material: Ce11Tl9Pt4
Method: DFT, PBE
State: optimized geometry

Values from the calculation:
Density   10.77 g/cm3
Total magnetization   10.031 μB/f.u.
Energy of formation   -0.55 eV/atom
E   -5.165 eV per atom
Space-group type   Cmmm (65)

Lattice parameters (Å, degrees): 13.5287 13.5287 3.7759 90.00 90.00 111.77
With the nearest neighbours (Å) after each atom.
Atoms (fractional coordinates):
Ce: 0.0000 0.0000 0.0000  8 Tl 3.34, 2 Ce 3.44
Ce: 0.0725 0.4192 0.0000  2 Pt 2.94
Ce: 0.1535 0.8465 0.0000  8 Tl 3.40-3.45, 5 Ce 3.44-3.78
Ce: 0.3116 0.3116 0.0000  4 Pt 3.01
Ce: 0.3719 0.6281 0.0000  4 Pt 3.02
Ce: 0.4192 0.0725 0.0000  2 Pt 2.94
Ce: 0.5808 0.9275 0.0000  2 Pt 2.94
Ce: 0.6281 0.3719 0.0000  4 Pt 3.02
Ce: 0.6884 0.6884 0.0000  4 Pt 3.01
Ce: 0.8465 0.1535 0.0000  8 Tl 3.40-3.45, 5 Ce 3.44-3.78
Ce: 0.9275 0.5808 0.0000  2 Pt 2.94
Tl: 0.0753 0.2188 0.5000  1 Pt 3.15, 1 Tl 3.21, 8 Ce 3.32-3.52
Tl: 0.1550 0.6377 0.5000  1 Tl 3.15, 1 Pt 3.21, 6 Ce 3.33-3.45
Tl: 0.2188 0.0753 0.5000  1 Pt 3.15, 1 Tl 3.21, 8 Ce 3.32-3.52
Tl: 0.3623 0.8450 0.5000  1 Tl 3.15, 1 Pt 3.21, 6 Ce 3.33-3.45
Tl: 0.5000 0.5000 0.5000  4 Pt 3.22, 8 Ce 3.43-3.44
Tl: 0.6377 0.1550 0.5000  1 Tl 3.15, 1 Pt 3.21, 6 Ce 3.33-3.45
Tl: 0.7812 0.9247 0.5000  1 Pt 3.15, 1 Tl 3.21, 8 Ce 3.32-3.52
Tl: 0.8450 0.3623 0.5000  1 Tl 3.15, 1 Pt 3.21, 6 Ce 3.33-3.45
Tl: 0.9247 0.7812 0.5000  1 Pt 3.15, 1 Tl 3.21, 8 Ce 3.32-3.52
Pt: 0.2485 0.4515 0.5000  6 Ce 2.94-3.02, 3 Tl 3.15-3.22
Pt: 0.4515 0.2485 0.5000  6 Ce 2.94-3.02, 3 Tl 3.15-3.22
Pt: 0.5485 0.7515 0.5000  6 Ce 2.94-3.02, 3 Tl 3.15-3.22
Pt: 0.7515 0.5485 0.5000  6 Ce 2.94-3.02, 3 Tl 3.15-3.22

Material: Ce7Tl2Pt2
Method: DFT, PBE
State: optimized geometry

Values from the calculation:
Density   9.15 g/cm3
Total magnetization   5.115 μB/f.u.
Energy of formation   -0.33 eV/atom
E   -5.636 eV per atom
Space-group type   Cmmm (65)

Lattice parameters (Å, degrees): 7.0924 7.0924 6.7980 90.00 90.00 109.13
With the nearest neighbours (Å) after each atom.
Atoms (fractional coordinates):
Ce: 0.0000 0.0000 0.0000  2 Pt 3.08
Ce: 0.0000 0.5000 0.2867  2 Pt 2.84, 1 Ce 2.90
Ce: 0.0000 0.5000 0.7133  2 Pt 2.84, 1 Ce 2.90
Ce: 0.5000 0.0000 0.2867  2 Pt 2.84, 1 Ce 2.90
Ce: 0.5000 0.0000 0.7133  2 Pt 2.84, 1 Ce 2.90
Ce: 0.5000 0.5000 0.2097  1 Ce 2.85, 2 Pt 3.05
Ce: 0.5000 0.5000 0.7903  1 Ce 2.85, 2 Pt 3.05
Tl: 0.1786 0.1786 0.5000  1 Tl 2.94, 4 Ce 3.29
Tl: 0.8214 0.8214 0.5000  1 Tl 2.94, 4 Ce 3.29
Pt: 0.2667 0.7333 0.0000  7 Ce 2.84-3.08
Pt: 0.7333 0.2667 0.0000  7 Ce 2.84-3.08

Material: Ce2TlPt
Method: DFT, PBE
State: optimized geometry

Values from the calculation:
Density   11.03 g/cm3
Total magnetization   1.763 μB/f.u.
Energy of formation   -0.62 eV/atom
E   -5.692 eV per atom
Space-group type   P4/mmm (123)

Lattice parameters (Å, degrees): 3.4513 3.4513 8.5874 90.00 90.00 90.00
With the nearest neighbours (Å) after each atom.
Atoms (fractional coordinates):
Ce: 0.0000 0.0000 0.2132  4 Pt 3.05
Ce: 0.0000 0.0000 0.7868  4 Pt 3.05
Tl: 0.5000 0.5000 0.5000  4 Tl 3.45, 8 Ce 3.47
Pt: 0.5000 0.5000 0.0000  8 Ce 3.05

Material: Ce4TlPt2
Method: DFT, PBE
State: optimized geometry

Values from the calculation:
Density   9.81 g/cm3
Total magnetization   3.382 μB/f.u.
Energy of formation   -0.57 eV/atom
E   -6.023 eV per atom
Space-group type   R-3m (166)

Lattice parameters (Å, degrees): 13.2152 13.2152 13.2152 18.15 18.15 18.15
With the nearest neighbours (Å) after each atom.
Atoms (fractional coordinates):
Ce: 0.1058 0.1058 0.1058  3 Pt 2.89
Ce: 0.3095 0.3095 0.3095  3 Pt 2.88, 3 Ce 3.04
Ce: 0.6905 0.6905 0.6905  3 Pt 2.88, 3 Ce 3.04
Ce: 0.8942 0.8942 0.8942  3 Pt 2.89
Tl: 0.5000 0.5000 0.5000  6 Ce 3.38
Pt: 0.3979 0.3979 0.3979  6 Ce 2.88-2.89
Pt: 0.6021 0.6021 0.6021  6 Ce 2.88-2.89